Sr3GaSb3 (GGA-PBE, optimized geometry); total magnetic moment = 0.000 Bohr magnetons per cell; energy relative to the elements, uncorrected = -0.87 eV per atom; crystal system = orthorhombic; theoretical density = 4.8 g cm⁻³
1.0
6.932 0.000 0.000
-3.466 10.344 0.000
0.000 0.000 13.607
Sr Sb Ga
12 12 4
Direct
0.123 0.649 0.873
0.195 0.000 0.643
0.695 0.000 0.857
0.377 0.351 0.373
0.027 0.649 0.373
0.305 0.000 0.143
0.805 0.000 0.357
0.473 0.351 0.873
0.877 0.351 0.127
0.623 0.649 0.627
0.973 0.351 0.627
0.527 0.649 0.127
0.945 0.323 0.875
0.290 0.000 0.391
0.710 0.000 0.609
0.210 0.000 0.891
0.790 0.000 0.109
0.623 0.677 0.875
0.445 0.323 0.625
0.055 0.677 0.125
0.377 0.323 0.125
0.877 0.323 0.375
0.555 0.677 0.375
0.123 0.677 0.625
0.412 0.824 0.500
0.912 0.824 0.000
0.588 0.176 0.500
0.088 0.176 0.000